[1]
A plane-wave DFT calculation with GGA-PBE was carried out for a relaxed K3TaI2Br6 crystal.

POSCAR file:
```
K3TaI2Br6
1.0
8.6071 -4.6792 0.0000
8.6071 4.6792 0.0000
-0.1243 0.0000 6.2266
K Ta I Br
3 1 2 6
Direct
0.0000 0.0000 0.0000 K
0.0000 0.5000 0.5000 K
0.5000 0.0000 0.5000 K
0.5000 0.5000 0.5000 Ta
0.1925 0.1925 0.1222 I
0.8075 0.8075 0.8778 I
0.2435 0.6280 0.2686 Br
0.3720 0.7565 0.7314 Br
0.3831 0.3831 0.7398 Br
0.6169 0.6169 0.2602 Br
0.6280 0.2435 0.2686 Br
0.7565 0.3720 0.7314 Br
```


[2]
A plane-wave DFT calculation with GGA-PBE was carried out for a relaxed K3TcI6Br2 crystal.

POSCAR file:
```
K3TcI6Br2
1.0
9.1950 -4.6962 0.0000
9.1950 4.6962 0.0000
-1.5730 0.0000 6.3628
K Tc I Br
3 1 6 2
Direct
0.0000 0.0000 0.0000 K
0.0000 0.5000 0.5000 K
0.5000 0.0000 0.5000 K
0.5000 0.5000 0.5000 Tc
0.2075 0.6216 0.2631 I
0.3784 0.7925 0.7369 I
0.4048 0.4048 0.7624 I
0.5952 0.5952 0.2376 I
0.6216 0.2075 0.2631 I
0.7925 0.3784 0.7369 I
0.1738 0.1738 0.2013 Br
0.8262 0.8262 0.7987 Br
```

DOS at the Fermi energy = 0.81 states/eV/atom


Computed uncorrected formation energy, in the same sequence as the records: -14.43; -9.05 eV per formula unit.
Computed E_tot, in the same sequence as the records: -42.71; -35.35 eV/cell.
Computed mass density, in the same sequence as the records: 3.4; 3.4 g/cm3.